Entry 1:
# NbCo GGA-PBE relaxed
data_NbCo
_chemical_formula_sum 'Nb2 Co2'
_symmetry_space_group_name_H-M 'P 63/m m c'
_symmetry_Int_Tables_number 194
_symmetry_space_group_name_Hall '-P 6c 2c'
_cell_length_a 4.1744
_cell_length_b 4.1744
_cell_length_c 4.8848
_cell_angle_alpha 90.00
_cell_angle_beta 90.00
_cell_angle_gamma 120.00
loop_
_atom_site_label
_atom_site_fract_x
_atom_site_fract_y
_atom_site_fract_z
_atom_site_occupancy
Nb1 0.3333 0.6667 0.2500 1
Co1 0.3333 0.6667 0.7500 1
# * ΔH_f (0 K): 649 meV per atom

=====

Entry 2:
# Sb4IrSe GGA-PBE relaxed
data_Sb4IrSe
_chemical_formula_sum 'Sb8 Ir2 Se2'
_symmetry_space_group_name_H-M 'P -1'
_symmetry_Int_Tables_number 2
_cell_length_a 6.457
_cell_length_b 6.643
_cell_length_c 8.562
_cell_angle_alpha 106.81
_cell_angle_beta 100.65
_cell_angle_gamma 95.01
loop_
_symmetry_equiv_pos_as_xyz
'x,y,z'
'-x,-y,-z'
loop_
_atom_site_label
_atom_site_fract_x
_atom_site_fract_y
_atom_site_fract_z
_atom_site_occupancy
Sb1 0.147 0.240 0.292 1
Sb2 0.199 0.461 0.669 1
Sb3 0.231 0.153 0.837 1
Sb4 0.336 0.821 0.438 1
Ir1 0.000 0.000 0.500 1
Ir2 0.500 0.500 0.500 1
Se1 0.350 0.833 0.131 1
# * energy relative to the elements, uncorrected: -0.108 eV/atom

=====

Entry 3:
# MgSe2N GGA-PBE relaxed
data_MgSe2N
_chemical_formula_sum 'Mg3 Se6 N3'
_symmetry_space_group_name_H-M 'R -3 m'
_symmetry_Int_Tables_number 166
_symmetry_space_group_name_Hall '-R 3 2"'
_cell_length_a 3.2332
_cell_length_b 3.2332
_cell_length_c 24.8666
_cell_angle_alpha 90.00
_cell_angle_beta 90.00
_cell_angle_gamma 120.00
loop_
_atom_site_label
_atom_site_fract_x
_atom_site_fract_y
_atom_site_fract_z
_atom_site_occupancy
Mg1 0.0000 0.0000 0.0000 1
Se1 0.0000 0.0000 0.1090 1
N1 0.0000 0.0000 0.5000 1
# * energy relative to the elements, uncorrected: 0.985 eV/atom

=====

| no. | total magnetic moment (μB/f.u.) |
| --- | --- |
| 1 | 0.00 |
| 2 | 0.00 |
| 3 | 0.00 |